Compound: Cs3La2DyTe6
Source: Alexandria
Functional: PBE-GGA
Structure: optimized geometry

Values from the calculation:
ρ ... 5.20 Mg/m³
Total magnetic moment ... 0.00 μB/cell
Uncorrected formation energy ... -1690 kJ/mol of formula units

Cell lengths 8.1385, 14.0959, 9.3320 Å; angles 90.00, 106.92, 90.00 degrees
Space group C2/m (No. 12)
One atom of each set of equivalent atoms:
Cs: 0.0000 0.0000 0.0000 (multiplicity 2)
Cs: 0.0000 0.3309 0.0000 (multiplicity 4)
La: 0.0000 0.1664 0.5000 (multiplicity 4)
Dy: 0.0000 0.5000 0.5000 (multiplicity 2)
Te: 0.2256 0.3387 0.6933 (multiplicity 8)
Te: 0.2426 0.0000 0.6944 (multiplicity 4)

Compound: La2PPd4Pt2
Source: Alexandria
Functional: PBE-GGA
Structure: optimized geometry

Values from the calculation:
Energy relative to the elements ... -0.892 eV/atom
ρ ... 10.87 Mg/m³
Total magnetic moment ... 0.00 μB/cell

Cell lengths 6.1851, 6.1851, 8.9836 Å; angles 90.00, 90.00, 90.00 degrees
Space group I4/mmm (No. 139)
One atom of each set of equivalent atoms:
La: 0.0000 0.5000 0.2500 (multiplicity 4)
P: 0.0000 0.0000 0.0000 (multiplicity 2)
Pd: 0.2290 0.2290 0.5000 (multiplicity 8)
Pt: 0.0000 0.0000 0.2634 (multiplicity 4)

Compound: ZnAg5Pd8
Source: Alexandria
Functional: PBE-GGA
Structure: optimized geometry

Values from the calculation:
Energy relative to the elements ... 0.054 eV/atom
ρ ... 10.12 Mg/m³
Total magnetic moment ... 0.00 μB/cell

Cell lengths 7.7200, 7.7200, 8.0198 Å; angles 90.00, 90.00, 90.00 degrees
Space group I-4 (No. 82)
One atom of each set of equivalent atoms:
Zn: 0.0000 0.0000 0.0000 (multiplicity 2)
Ag: 0.0000 0.5000 0.7500 (multiplicity 2)
Ag: 0.1187 0.7917 0.4216 (multiplicity 8)
Pd: 0.0668 0.6693 0.0934 (multiplicity 8)
Pd: 0.0973 0.8316 0.7582 (multiplicity 8)

Compound: CdSbTe2H
Source: Alexandria
Functional: PBE-GGA
Structure: optimized geometry

Values from the calculation:
Relative energy among the computed polymorphs ... 646 meV/atom
ρ ... 4.49 Mg/m³
Total magnetic moment ... 1.05 μB/cell

Cell lengths 5.7199, 5.7199, 5.5390 Å; angles 90.00, 90.00, 90.00 degrees
Space group P4/mmm (No. 123)
One atom of each set of equivalent atoms:
Cd: 0.0000 0.0000 0.0000 (multiplicity 1)
Sb: 0.0000 0.0000 0.5000 (multiplicity 1)
Te: 0.0000 0.5000 0.0000 (multiplicity 2)
H: 0.5000 0.5000 0.5000 (multiplicity 1)

Compound: Tm4GaSbSe2
Source: Alexandria
Functional: PBE-GGA
Structure: optimized geometry

Values from the calculation:
ρ ... 8.47 Mg/m³
Total magnetic moment ... 0.00 μB/cell
Uncorrected formation energy ... -954 kJ/mol of formula units

Cell lengths 7.2294, 4.0597, 7.2311 Å; angles 90.00, 108.77, 90.00 degrees
Space group P2/m (No. 10)
One atom of each set of equivalent atoms:
Tm: 0.2358 0.0000 0.2501 (multiplicity 2)
Tm: 0.2418 0.5000 0.7476 (multiplicity 2)
Ga: 0.0000 0.0000 0.5000 (multiplicity 1)
Sb: 0.5000 0.5000 0.5000 (multiplicity 1)
Se: 0.0000 0.5000 0.0000 (multiplicity 1)
Se: 0.5000 0.0000 0.0000 (multiplicity 1)

Compound: TiCdAg2
Source: Alexandria
Functional: PBE-GGA
Structure: optimized geometry

Values from the calculation:
Energy relative to the elements ... 0.020 eV/atom
ρ ... 8.48 Mg/m³
Total magnetic moment ... 0.95 μB/cell

Cell lengths 3.0131, 3.0131, 8.1100 Å; angles 90.00, 90.00, 90.00 degrees
Space group P4/mmm (No. 123)
One atom of each set of equivalent atoms:
Ti: 0.0000 0.0000 0.0000 (multiplicity 1)
Cd: 0.0000 0.0000 0.5000 (multiplicity 1)
Ag: 0.5000 0.5000 0.2400 (multiplicity 2)

Compound: Ac7Tb2Pr
Source: Alexandria
Functional: PBE-GGA
Structure: optimized geometry

Values from the calculation:
Energy relative to the elements ... 0.610 eV/atom
ρ ... 6.63 Mg/m³
Total magnetic moment ... 0.00 μB/cell

Cell lengths 10.1787, 16.4420, 6.1320 Å; angles 90.00, 90.00, 90.00 degrees
Space group Cmmm (No. 65)
One atom of each set of equivalent atoms:
Ac: 0.0000 0.0000 0.0000 (multiplicity 2)
Ac: 0.0000 0.2562 0.5000 (multiplicity 4)
Ac: 0.1853 0.3746 0.0000 (multiplicity 8)
Tb: 0.0000 0.2006 0.0000 (multiplicity 4)
Pr: 0.0000 0.5000 0.5000 (multiplicity 2)

Compound: CoCuRh2
Source: Alexandria
Functional: PBE-GGA
Structure: optimized geometry

Values from the calculation:
Relative energy among the computed polymorphs ... 36 meV/atom
Energy relative to the elements ... 0.067 eV/atom
ρ ... 10.28 Mg/m³
Total magnetic moment ... 10.93 μB/cell

Cell lengths 2.6846, 2.6846, 25.4902 Å; angles 90.00, 90.00, 120.00 degrees
Space group R-3m (No. 166, hexagonal axes)
One atom of each set of equivalent atoms:
Co: 0.0000 0.0000 0.0000 (multiplicity 3)
Cu: 0.0000 0.0000 0.5000 (multiplicity 3)
Rh: 0.0000 0.0000 0.2522 (multiplicity 6)

Compound: VMoW
Source: Alexandria
Functional: PBE-GGA
Structure: optimized geometry

Values from the calculation:
Relative energy among the computed polymorphs ... 2 meV/atom
Energy relative to the elements ... -0.118 eV/atom
ρ ... 12.09 Mg/m³
Total magnetic moment ... 0.00 μB/cell

Cell lengths 9.3771, 4.3911, 5.3888 Å; angles 90.00, 125.02, 90.00 degrees
Space group C2/m (No. 12)
One atom of each set of equivalent atoms:
V: 0.1671 0.0000 0.2507 (multiplicity 4)
Mo: 0.1672 0.0000 0.7478 (multiplicity 4)
W: 0.9999 0.5000 0.2479 (multiplicity 4)

Compound: La6ZnIr2Br3
Source: Alexandria
Functional: PBE-GGA
Structure: optimized geometry

Values from the calculation:
ρ ... 6.75 Mg/m³
Total magnetic moment ... 0.00 μB/cell
Uncorrected formation energy ... -1239 kJ/mol of formula units

Cell lengths 7.4089, 12.8279, 8.2594 Å; angles 90.00, 107.45, 90.00 degrees
Space group C2/m (No. 12)
One atom of each set of equivalent atoms:
La: 0.2136 0.0000 0.2017 (multiplicity 4)
La: 0.2442 0.3230 0.2017 (multiplicity 8)
Zn: 0.0000 0.5000 0.0000 (multiplicity 2)
Ir: 0.0000 0.1668 0.0000 (multiplicity 4)
Br: 0.0000 0.0000 0.5000 (multiplicity 2)
Br: 0.0000 0.3356 0.5000 (multiplicity 4)

Compound: Ho6Zn5Ga
Source: Alexandria
Functional: PBE-GGA
Structure: optimized geometry

Values from the calculation:
Energy relative to the elements ... -0.390 eV/atom
ρ ... 8.54 Mg/m³
Total magnetic moment ... 0.00 μB/cell

Cell lengths 5.0167, 15.0818, 7.1226 Å; angles 90.00, 90.00, 90.00 degrees
Space group Cmmm (No. 65)
One atom of each set of equivalent atoms:
Ho: 0.0000 0.0000 0.2505 (multiplicity 4)
Ho: 0.0000 0.3335 0.2495 (multiplicity 8)
Zn: 0.0000 0.1669 0.0000 (multiplicity 4)
Zn: 0.0000 0.1700 0.5000 (multiplicity 4)
Zn: 0.0000 0.5000 0.0000 (multiplicity 2)
Ga: 0.0000 0.5000 0.5000 (multiplicity 2)

Compound: La3OsC2
Source: Alexandria
Functional: PBE-GGA
Structure: optimized geometry

Values from the calculation:
Energy relative to the elements ... -0.007 eV/atom
ρ ... 8.35 Mg/m³
Total magnetic moment ... 0.00 μB/cell

Cell lengths 9.8626, 7.7133, 6.5952 Å; angles 90.00, 90.00, 90.00 degrees
Space group Cmcm (No. 63)
One atom of each set of equivalent atoms:
La: 0.0000 0.2289 0.2500 (multiplicity 4)
La: 0.2258 0.0000 0.0000 (multiplicity 8)
Os: 0.0000 0.3550 0.7500 (multiplicity 4)
C: 0.0000 0.1036 0.7500 (multiplicity 4)
C: 0.0000 0.5000 0.0000 (multiplicity 4)

> The highest total magnetic moment belongs to which entry?

CoCuRh2